1.
Computed, not measured: SbIr4 after structural relaxation at the PBE level of DFT.

The relative energy among the computed polymorphs comes out at 0.202 eV/atom. As for the density of states at the Fermi level: 5.48 states/eV/f.u.

It has space group I4/mmm (No. 139), with a = 3.7088 Å, b = 3.7088 Å, c = 12.7575 Å, α = 90.00°, β = 90.00° and γ = 90.00°. The distinct sites, in fractional coordinates, are Sb at (0.0000, 0.0000, 0.0000), Ir at (0.0000, 0.0000, 0.3980) and Ir at (0.0000, 0.5000, 0.2500).

=====

2.
Computed, not measured: KReSe3 after structural relaxation at the PBE level of DFT.

The relative energy among the computed polymorphs comes out at 0.000 eV/atom. As for the density of states at the Fermi level: 2.79 states/eV/f.u.

It has space group P2_1/c (No. 14), with a = 9.5418 Å, b = 6.2453 Å, c = 8.7699 Å, α = 90.00°, β = 90.89° and γ = 90.00°. The distinct sites, in fractional coordinates, are K at (0.1309, 0.0574, 0.2011), Re at (0.4470, 0.7016, 0.9253), Se at (0.2203, 0.5897, 0.3349), Se at (0.3067, 0.0676, 0.5437) and Se at (0.4577, 0.5718, 0.6605).

=====

3.
Computed, not measured: TbNd2As after structural relaxation at the PBE level of DFT.

The calculation puts the formation enthalpy at 0 K at -143 kJ/mol of formula units. As for the density of states at the Fermi level: 5.62 states/eV/f.u.

It has space group R-3m (No. 166, hexagonal axes), with a = 3.9198 Å, b = 3.9198 Å, c = 31.2413 Å, α = 90.00°, β = 90.00° and γ = 120.00°. The distinct sites, in fractional coordinates, are Tb at (0.0000, 0.0000, 0.0000), Nd at (0.0000, 0.0000, 0.1100) and As at (0.0000, 0.0000, 0.5000).

=====

4.
Computed, not measured: Pu2NiGe4Pt3 after structural relaxation at the PBE level of DFT.

The calculation puts the formation enthalpy at 0 K at -618 kJ/mol of formula units. As for the density of states at the Fermi level: 28.84 states/eV/f.u.

It has space group P-4m2 (No. 115), with a = 4.2937 Å, b = 4.2937 Å, c = 10.1167 Å, α = 90.00°, β = 90.00° and γ = 90.00°. The distinct sites, in fractional coordinates, are Pu at (0.0000, 0.5000, 0.2465), Ni at (0.5000, 0.5000, 0.0000), Ge at (0.0000, 0.0000, 0.5000), Ge at (0.0000, 0.5000, 0.8754), Ge at (0.5000, 0.5000, 0.5000), Pt at (0.0000, 0.0000, 0.0000) and Pt at (0.0000, 0.5000, 0.6318).

=====

5.
Computed, not measured: PrNdTlI after structural relaxation at the PBE level of DFT.

The relative energy among the computed polymorphs comes out at 0.000 eV/atom. As for the density of states at the Fermi level: 1.86 states/eV/f.u.

It has space group R3m (No. 160, hexagonal axes), with a = 4.6019 Å, b = 4.6019 Å, c = 22.3002 Å, α = 90.00°, β = 90.00° and γ = 120.00°. The distinct sites, in fractional coordinates, are Pr at (0.0000, 0.0000, 0.0000), Nd at (0.0000, 0.0000, 0.5147), Tl at (0.0000, 0.0000, 0.2566) and I at (0.0000, 0.0000, 0.7580).

=====

6.
Computed, not measured: Ac5TmAu6 after structural relaxation at the PBE level of DFT.

The calculation puts the formation enthalpy at 0 K at -889 kJ/mol of formula units. As for the density of states at the Fermi level: 6.52 states/eV/f.u.

It has space group C2/m (No. 12), with a = 18.1667 Å, b = 5.4359 Å, c = 7.6764 Å, α = 90.00°, β = 114.97° and γ = 90.00°. The distinct sites, in fractional coordinates, are Ac at (0.0000, 0.0000, 0.0000), Ac at (0.1667, 0.5000, 0.1660), Ac at (0.1673, 0.5000, 0.6667), Tm at (0.0000, 0.0000, 0.5000), Au at (0.9999, 0.5000, 0.2763), Au at (0.1559, 0.0000, 0.4208) and Au at (0.1557, 0.0000, 0.8897).